An optimized crystal structure of GaReAs, computed with PBE-GGA.

Cell: 4.8879 4.8879 7.5416 Å, 116.53 116.53 38.62°
With the nearest neighbours (Å) after each atom.
Sites, in units of the cell vectors:
Ga (0.0000, 0.0000, 0.0000)  5 Re 2.59-2.74
Ga (0.5347, 0.5347, 0.6747)  3 As 2.53-2.75, 3 Re 2.63-2.77
Re (0.2554, 0.2554, 0.9417)  3 As 2.58-2.60, 5 Ga 2.59-2.64, 1 Re 2.85
Re (0.5504, 0.5504, 0.3168)  5 As 2.53-2.66, 3 Ga 2.74-2.77
As (0.2346, 0.2346, 0.5886)  3 Ga 2.53-2.75, 3 Re 2.53-2.58
As (0.8001, 0.8001, 0.2325)  5 Re 2.60-2.66

Calculated formation energy, eV per atom: -0.0327
SG: Cm
Distance to the lowest polymorph of the same formula, meV/atom: 0


An optimized crystal structure of P2BrO2, computed with PBE-GGA.

Cell: 4.8932 4.8932 3.7363 Å, 90.00 90.00 90.00°
With the nearest neighbours (Å) after each atom.
Sites, in units of the cell vectors:
P (0.0000, 0.5000, 0.0000)  2 Br 2.45
P (0.5000, 0.0000, 0.0000)  2 Br 2.45
Br (0.0000, 0.0000, 0.0000)  2 O 1.87
O (0.0000, 0.0000, 0.5000)  2 Br 1.87
O (0.5000, 0.5000, 0.5000)  8 P 3.08

Formation energy (no corrections), kcal/mol of atoms: 38.98
SG: P4/mmm
Distance to the lowest polymorph of the same formula, meV/atom: 1986


An optimized crystal structure of Li2HgPb2, computed with PBE-GGA.

Cell: 7.4407 7.4407 7.4407 Å, 146.39 146.39 48.26°
With the nearest neighbours (Å) after each atom.
Sites, in units of the cell vectors:
Li (0.2500, 0.7500, 0.5000)  4 Pb 2.90, 4 Li 3.04
Li (0.7500, 0.2500, 0.5000)  4 Pb 2.90, 4 Li 3.04
Hg (0.0000, 0.0000, 0.0000)  8 Pb 3.37
Pb (0.3930, 0.3930, 0.0000)  4 Li 2.90, 1 Pb 2.91
Pb (0.6070, 0.6070, 0.0000)  4 Li 2.90, 1 Pb 2.91

Calculated formation energy, eV per atom: 0.0219
SG: I4/mmm
Distance to the lowest polymorph of the same formula, meV/atom: 236


An optimized crystal structure of Li2BC, computed with PBE-GGA.

Cell: 7.8542 7.8542 7.8542 Å, 159.04 159.04 29.81°
With the nearest neighbours (Å) after each atom.
Sites, in units of the cell vectors:
Li (0.1082, 0.6250, 0.9832)  4 Li 1.95-2.09, 2 C 2.13, 2 B 2.17
Li (0.3750, 0.3582, 0.4832)  4 Li 1.95-2.09, 2 C 2.13, 2 B 2.17
Li (0.6418, 0.1250, 0.0168)  4 Li 1.95-2.09, 2 C 2.13, 2 B 2.17
Li (0.8750, 0.8918, 0.5168)  4 Li 1.95-2.09, 2 C 2.13, 2 B 2.17
B (0.2500, 0.7500, 0.5000)  4 C 2.02, 4 Li 2.17
B (0.5000, 0.5000, 0.0000)  4 C 2.02, 4 Li 2.17
C (0.0000, 0.0000, 0.0000)  4 B 2.02, 4 Li 2.13
C (0.7500, 0.2500, 0.5000)  4 B 2.02, 4 Li 2.13

Calculated formation energy, eV per atom: 1.1805
SG: I-42d
Distance to the lowest polymorph of the same formula, meV/atom: 51


An optimized crystal structure of TaCdTe2C, computed with PBE-GGA.

Cell: 5.0340 5.0340 4.1692 Å, 90.00 90.00 90.00°
With the nearest neighbours (Å) after each atom.
Sites, in units of the cell vectors:
Ta (0.0000, 0.0000, 0.0000)  8 Te 3.27, 4 Cd 3.56
Cd (0.5000, 0.5000, 0.0000)  2 C 2.08
Te (0.0000, 0.5000, 0.5000)  2 C 2.52
Te (0.5000, 0.0000, 0.5000)  2 C 2.52
C (0.5000, 0.5000, 0.5000)  2 Cd 2.08

Formation energy (no corrections), kcal/mol of atoms: 29.47
SG: P4/mmm


An optimized crystal structure of Ba3AgRh, computed with PBE-GGA.

Cell: 9.0835 4.7218 9.5148 Å, 90.00 110.09 90.00°
With the nearest neighbours (Å) after each atom.
Sites, in units of the cell vectors:
Ba (0.0790, 0.2500, 0.2412)  3 Rh 3.12-3.47
Ba (0.3053, 0.2500, 0.9165)  1 Rh 3.44, 3 Ag 3.48-3.57
Ba (0.3365, 0.7500, 0.5820)  3 Rh 3.25-3.50
Ba (0.6635, 0.2500, 0.4180)  3 Rh 3.25-3.50
Ba (0.6947, 0.7500, 0.0835)  1 Rh 3.44, 3 Ag 3.48-3.57
Ba (0.9210, 0.7500, 0.7588)  3 Rh 3.12-3.47
Ag (0.3597, 0.7500, 0.1991)  8 Ba 3.48-3.72
Ag (0.6404, 0.2500, 0.8009)  8 Ba 3.48-3.72
Rh (0.0439, 0.2500, 0.5558)  2 Rh 2.60
Rh (0.9561, 0.7500, 0.4442)  2 Rh 2.60

Calculated formation energy, eV per atom: -0.1759
SG: P2_1/m
Distance to the lowest polymorph of the same formula, meV/atom: 3


An optimized crystal structure of NaMgSi3, computed with PBE-GGA.

Cell: 5.0045 5.0045 5.0045 Å, 90.00 90.00 90.00°
With the nearest neighbours (Å) after each atom.
Sites, in units of the cell vectors:
Na (0.0000, 0.0000, 0.0000)  12 Si 3.54
Mg (0.5000, 0.5000, 0.5000)  6 Si 2.50
Si (0.0000, 0.5000, 0.5000)  2 Mg 2.50
Si (0.5000, 0.0000, 0.5000)  2 Mg 2.50
Si (0.5000, 0.5000, 0.0000)  2 Mg 2.50

Formation energy (no corrections), kcal/mol of atoms: 20.07
SG: Pm-3m
Distance to the lowest polymorph of the same formula, meV/atom: 0


An optimized crystal structure of CoSb2, computed with PBE-GGA.

Cell: 6.5685 6.5685 5.9594 Å, 113.97 113.97 32.99°
With the nearest neighbours (Å) after each atom.
Sites, in units of the cell vectors:
Co (0.2381, 0.2381, 0.3014)  6 Sb 2.51-2.63
Co (0.7619, 0.7619, 0.6986)  6 Sb 2.51-2.63
Sb (0.1477, 0.1477, 0.8179)  3 Co 2.61-2.63
Sb (0.4038, 0.4038, 0.7263)  3 Co 2.51-2.54
Sb (0.5962, 0.5962, 0.2737)  3 Co 2.51-2.54
Sb (0.8523, 0.8523, 0.1821)  3 Co 2.61-2.63

Formation energy (no corrections), kcal/mol of atoms: -1.14
SG: C2/m


Magnetic moment (μB/atom)
0.00; 0.00; 0.00; 0.00; 0.43; 0.00; 0.00; 0.00